1.
The following is a DFT calculation (PBE-GGA) of Nd3Mg3Cd2In after structural relaxation.

Unit cell a=7.612 b=7.612 c=4.823 alpha=90.00 beta=90.00 gamma=120.00
Fractional coordinates of all 9 atoms:
1 Mg 0.000 0.241 0.500
2 Nd 0.571 0.000 0.000
3 Mg 0.241 0.000 0.500
4 Mg 0.759 0.759 0.500
5 Cd 0.667 0.333 0.500
6 In 0.000 0.000 0.000
7 Cd 0.333 0.667 0.500
8 Nd 0.000 0.571 0.000
9 Nd 0.429 0.429 0.000



2.
The following is a DFT calculation (PBE-GGA) of Nd3Mg3TlCdIn after structural relaxation.

Unit cell a=7.694 b=7.694 c=4.759 alpha=90.00 beta=90.00 gamma=120.00
Fractional coordinates of all 9 atoms:
1 Nd 0.423 0.001 0.000
2 Mg 0.762 0.001 0.500
3 Mg 0.999 0.761 0.500
4 Nd 0.577 0.577 0.000
5 Nd 0.999 0.423 0.000
6 Tl 0.333 0.667 0.500
7 Mg 0.239 0.238 0.500
8 In 0.667 0.333 0.500
9 Cd 0.000 0.000 0.000



no.,VASP energy (eV for the cell shown)
1,-26.14
2,-28.27